## AlIn3Cu4Se8 (PBEsol)

Data for a relaxed AlIn3Cu4Se8 crystal.

abc: 5.711 7.007 10.691
angles: 90.16 74.49 65.94
Element x y z (fractional)
Al (0.377, 0.376, 0.875)
In (0.873, 0.875, 0.374)
In (0.249, 0.250, 0.245)
In (0.751, 0.750, 0.755)
Cu (0.634, 0.617, 0.119)
Cu (0.116, 0.132, 0.631)
Cu (0.005, 0.001, 0.994)
Cu (0.495, 0.499, 0.506)
Se (0.953, 0.686, 0.951)
Se (0.414, 0.206, 0.454)
Se (0.682, 0.423, 0.685)
Se (0.208, 0.916, 0.167)
Se (0.589, 0.311, 0.049)
Se (0.093, 0.816, 0.565)
Se (0.772, 0.561, 0.314)
Se (0.289, 0.083, 0.815)

Properties
ΔE_f (raw)	-7.23	eV/f.u.

---

## AlInCu2Se4 (PBEsol)

Data for a relaxed AlInCu2Se4 crystal.

abc: 5.657 5.657 6.929
angles: 114.10 114.10 90.00
Element x y z (fractional)
Cu (0.750, 0.250, 0.500)
Cu (0.000, 0.000, 0.000)
Al (0.250, 0.750, 0.500)
Se (0.897, 0.900, 0.263)
Se (0.366, 0.364, 0.263)
Se (0.636, 0.103, 0.737)
Se (0.100, 0.634, 0.737)
In (0.500, 0.500, 0.000)

Properties
ΔE_f (raw)	-3.99	eV/f.u.

---

## Al2CuIr (PBEsol)

Data for a relaxed Al2CuIr crystal.

abc: 3.641 3.641 4.760
angles: 112.49 112.49 90.00
Element x y z (fractional)
Ir (0.250, 0.750, 0.500)
Al (0.500, 0.500, 0.000)
Al (0.750, 0.250, 0.500)
Cu (0.000, 0.000, 0.000)

Properties
ΔE_f	-559	meV/atom

---

## AlCu2Ir (PBEsol)

Data for a relaxed AlCu2Ir crystal.

abc: 3.607 3.607 3.857
angles: 90.00 90.00 90.00
Element x y z (fractional)
Ir (0.500, 0.500, 0.500)
Al (0.000, 0.000, 0.500)
Cu (0.000, 0.500, 0.000)
Cu (0.500, 0.000, 0.000)

Properties
ΔE_f	-355	meV/atom

---

## AlCu2Ir (PBEsol)

Data for a relaxed AlCu2Ir crystal.

abc: 2.738 4.295 5.080
angles: 114.14 104.36 92.91
Element x y z (fractional)
Ir (0.500, 0.000, 0.000)
Al (0.000, 0.500, 0.000)
Cu (0.000, 0.000, 0.500)
Cu (0.500, 0.500, 0.500)

Properties
ΔE_f	-192	meV/atom

---

## AlCuIr2 (PBEsol)

Data for a relaxed AlCuIr2 crystal.

abc: 2.752 4.437 4.727
angles: 101.39 90.00 108.06
Element x y z (fractional)
Ir (0.744, 0.487, 0.754)
Ir (0.256, 0.513, 0.246)
Al (0.000, 0.000, 0.500)
Cu (0.500, 0.000, 0.000)

Properties
ΔE_f	-322	meV/atom

---

## AlCuIr2 (PBEsol)

Data for a relaxed AlCuIr2 crystal.

abc: 2.700 2.700 8.670
angles: 90.00 90.00 119.51
Element x y z (fractional)
Ir (0.000, 0.000, 0.007)
Ir (0.500, 0.500, 0.736)
Al (0.000, 0.000, 0.497)
Cu (0.500, 0.500, 0.260)

Properties
ΔE_f	46	meV/atom

---

## AlCu2Ir (PBEsol)

Data for a relaxed AlCu2Ir crystal.

abc: 3.592 3.592 4.676
angles: 112.59 112.59 90.00
Element x y z (fractional)
Ir (0.500, 0.500, 0.000)
Al (0.000, 0.000, 0.000)
Cu (0.750, 0.250, 0.500)
Cu (0.250, 0.750, 0.500)

Properties
ΔE_f	-235	meV/atom

---

Per-record total moment, μB per formula unit: 0.00; 0.00; 0.00; 0.00; 0.00; 0.00; 0.00; 0.00
Per-record total energy, eV per formula unit: -68.41; -35.14; -24.58; -24.00; -23.35; -29.36; -27.89; -23.52